(1)
MgTl2Se | PBE-GGA | optimized geometry

Results
* N(E_F): 0.4361 states/eV per atom
* energy: -2.624 eV per atom
* crystal system: tetragonal
* space-group type: P4/mmm
* magnetization: 0.00 μB per cell

Lattice parameters (Å, degrees): 4.394 4.394 5.560 90.00 90.00 90.00
Fractional positions:
1 Mg 0.000 0.000 0.000
2 Tl 0.000 0.500 0.500
3 Tl 0.500 0.000 0.500
4 Se 0.500 0.500 0.000

(2)
MgTlSe | PBE-GGA | optimized geometry

Results
* N(E_F): 0.3385 states/eV per atom
* energy: -3.100 eV per atom
* crystal system: tetragonal
* space-group type: P4/nmm
* magnetization: 0.00 μB per cell

Lattice parameters (Å, degrees): 4.582 4.582 8.718 90.00 90.00 90.00
Fractional positions:
1 Mg 0.250 0.750 0.000
2 Mg 0.750 0.250 0.000
3 Tl 0.250 0.250 0.466
4 Tl 0.750 0.750 0.534
5 Se 0.250 0.250 0.850
6 Se 0.750 0.750 0.150

(3)
Mg2TlSe | PBE-GGA | optimized geometry

Results
* N(E_F): 0.4390 states/eV per atom
* energy: -2.582 eV per atom
* crystal system: orthorhombic
* space-group type: Immm
* magnetization: 0.00 μB per cell

Lattice parameters (Å, degrees): 3.679 6.065 8.992 90.00 90.00 90.00
Fractional positions:
1 Mg 0.000 0.000 0.217
2 Mg 0.000 0.000 0.783
3 Mg 0.500 0.500 0.283
4 Mg 0.500 0.500 0.717
5 Tl 0.000 0.500 0.000
6 Tl 0.500 0.000 0.500
7 Se 0.000 0.500 0.500
8 Se 0.500 0.000 0.000

(4)
Mg2Tl2Se3 | PBE-GGA | optimized geometry

Results
* N(E_F): 0.0000 states/eV per atom
* energy: -3.473 eV per atom
* crystal system: monoclinic
* space-group type: C2/c
* magnetization: 0.00 μB per cell

Lattice parameters (Å, degrees): 11.271 11.271 7.324 108.95 108.95 83.28
Fractional positions:
1 Mg 0.034 0.582 0.739
2 Mg 0.147 0.304 0.812
3 Mg 0.304 0.147 0.312
4 Mg 0.418 0.966 0.761
5 Mg 0.582 0.034 0.239
6 Mg 0.696 0.853 0.688
7 Mg 0.853 0.696 0.188
8 Mg 0.966 0.418 0.261
9 Tl 0.063 0.937 0.750
10 Tl 0.205 0.795 0.250
11 Tl 0.315 0.496 0.406
12 Tl 0.496 0.315 0.906
13 Tl 0.504 0.685 0.094
14 Tl 0.685 0.504 0.594
15 Tl 0.795 0.205 0.750
16 Tl 0.937 0.063 0.250
17 Se 0.062 0.646 0.443
18 Se 0.105 0.241 0.098
19 Se 0.241 0.105 0.598
20 Se 0.249 0.524 0.959
21 Se 0.354 0.938 0.057
22 Se 0.476 0.751 0.541
23 Se 0.524 0.249 0.459
24 Se 0.646 0.062 0.943
25 Se 0.751 0.476 0.041
26 Se 0.759 0.895 0.402
27 Se 0.895 0.759 0.902
28 Se 0.938 0.354 0.557

(5)
MgTlSe2 | PBE-GGA | optimized geometry

Results
* N(E_F): 0.3711 states/eV per atom
* energy: -3.305 eV per atom
* crystal system: monoclinic
* space-group type: Cm
* magnetization: 0.00 μB per cell

Lattice parameters (Å, degrees): 14.207 3.747 3.952 90.00 90.24 90.00
Fractional positions:
1 Mg 0.000 0.000 0.000
2 Mg 0.500 0.500 0.000
3 Tl 0.261 0.500 0.494
4 Tl 0.761 0.000 0.494
5 Se 0.058 0.500 0.501
6 Se 0.350 0.000 0.995
7 Se 0.558 0.000 0.501
8 Se 0.850 0.500 0.995

(6)
Mg2TlSe | PBE-GGA | optimized geometry

Results
* N(E_F): 0.5007 states/eV per atom
* energy: -2.616 eV per atom
* crystal system: tetragonal
* space-group type: P4/mmm
* magnetization: 0.00 μB per cell

Lattice parameters (Å, degrees): 3.469 3.469 7.669 90.00 90.00 90.00
Fractional positions:
1 Mg 0.000 0.000 0.203
2 Mg 0.000 0.000 0.797
3 Tl 0.500 0.500 0.500
4 Se 0.500 0.500 0.000